[1]
Density functional theory data (GGA-PBE) for NaBe2Br after structural relaxation.

Values from the calculation:
**V**: 158.55 Å³/cell
**Raw formation energy**: 0.52 eV per atom
**Fermi-level density of states**: 0.0 states/eV/cell
**Energy above the lowest structure with this stoichiometry**: 0.0 kJ/mol of atoms

Lattice parameters (Å, degrees): 6.142 6.142 6.142 99.79 99.79 131.30
Sites, in units of the cell vectors:
Na: 0.000 0.000 0.000
Na: 0.750 0.250 0.500
Be: 0.158 0.125 0.533
Be: 0.375 0.842 0.967
Be: 0.592 0.625 0.467
Be: 0.875 0.408 0.033
Br: 0.250 0.750 0.500
Br: 0.500 0.500 0.000

---

[2]
Density functional theory data (GGA-PBE) for Na2BeBr4 after structural relaxation.

Values from the calculation:
**V**: 246.74 Å³/cell
**Raw formation energy**: -1.30 eV per atom
**Fermi-level density of states**: 0.0 states/eV/cell

Lattice parameters (Å, degrees): 7.136 7.136 7.136 122.45 122.45 85.80
Sites, in units of the cell vectors:
Na: 0.250 0.750 0.500
Na: 0.750 0.250 0.500
Be: 0.000 0.000 0.000
Br: 0.076 0.695 0.000
Br: 0.305 0.305 0.381
Br: 0.695 0.076 0.000
Br: 0.924 0.924 0.619

---

[3]
Density functional theory data (GGA-PBE) for Na3BeBr after structural relaxation.

Values from the calculation:
**V**: 168.63 Å³/cell
**Raw formation energy**: 0.08 eV per atom
**Fermi-level density of states**: 2.9 states/eV/cell
**Energy above the lowest structure with this stoichiometry**: 0.0 kJ/mol of atoms

Lattice parameters (Å, degrees): 5.525 5.525 5.525 90.00 90.00 90.00
Sites, in units of the cell vectors:
Na: 0.000 0.000 0.500
Na: 0.000 0.500 0.000
Na: 0.500 0.000 0.000
Be: 0.500 0.500 0.500
Br: 0.000 0.000 0.000

---

[4]
Density functional theory data (GGA-PBE) for NaBe3Br after structural relaxation.

Values from the calculation:
**V**: 133.65 Å³/cell
**Raw formation energy**: 1.70 eV per atom
**Fermi-level density of states**: 1.6 states/eV/cell
**Energy above the lowest structure with this stoichiometry**: 28.1 kJ/mol of atoms

Lattice parameters (Å, degrees): 5.113 5.113 5.113 90.00 90.00 90.00
Sites, in units of the cell vectors:
Na: 0.000 0.000 0.000
Be: 0.000 0.000 0.500
Be: 0.000 0.500 0.000
Be: 0.500 0.000 0.000
Br: 0.500 0.500 0.500

---

[5]
Density functional theory data (GGA-PBE) for NaBe2Br after structural relaxation.

Values from the calculation:
**V**: 89.75 Å³/cell
**Raw formation energy**: 1.09 eV per atom
**Fermi-level density of states**: 1.5 states/eV/cell
**Energy above the lowest structure with this stoichiometry**: 55.1 kJ/mol of atoms

Lattice parameters (Å, degrees): 5.025 5.025 5.025 60.00 60.00 60.00
Sites, in units of the cell vectors:
Na: 0.000 0.000 0.000
Be: 0.250 0.250 0.250
Be: 0.750 0.750 0.750
Br: 0.500 0.500 0.500

---

[6]
Density functional theory data (GGA-PBE) for Rb2NaBeBr6 after structural relaxation.

Values from the calculation:
**V**: 309.99 Å³/cell
**Raw formation energy**: -1.15 eV per atom
**Fermi-level density of states**: 13.2 states/eV/cell

Lattice parameters (Å, degrees): 7.598 7.598 7.598 120.05 120.05 89.92
Sites, in units of the cell vectors:
Rb: 0.250 0.750 0.500
Rb: 0.750 0.250 0.500
Na: 0.000 0.000 0.000
Be: 0.500 0.500 0.000
Br: 0.271 0.271 0.000
Br: 0.272 0.272 0.543
Br: 0.272 0.728 0.000
Br: 0.728 0.272 0.000
Br: 0.728 0.728 0.457
Br: 0.729 0.729 0.000

---

[7]
Density functional theory data (GGA-PBE) for NaScBeBr2 after structural relaxation.

Values from the calculation:
**V**: 160.39 Å³/cell
**Raw formation energy**: 0.50 eV per atom
**Fermi-level density of states**: 5.6 states/eV/cell

Lattice parameters (Å, degrees): 5.177 5.177 5.984 90.00 90.00 90.00
Sites, in units of the cell vectors:
Na: 0.000 0.000 0.000
Sc: 0.000 0.000 0.500
Be: 0.500 0.500 0.500
Br: 0.000 0.500 0.000
Br: 0.500 0.000 0.000

---

[8]
Density functional theory data (GGA-PBE) for Na2BeSeBr after structural relaxation.

Values from the calculation:
**V**: 171.70 Å³/cell
**Raw formation energy**: 0.11 eV per atom
**Fermi-level density of states**: 1.3 states/eV/cell

Lattice parameters (Å, degrees): 5.512 5.512 5.651 90.00 90.00 90.00
Sites, in units of the cell vectors:
Na: 0.000 0.500 0.000
Na: 0.500 0.000 0.000
Be: 0.000 0.000 0.500
Se: 0.500 0.500 0.000
Br: 0.500 0.500 0.500